No. 1
Material: KCu2P
Method: DFT, PBE-GGA
State: optimized geometry

Cell and atoms, written as POSCAR:
```
KCu2P
1.0
5.8439 0.0098 -0.0043
2.4695 5.2965 0.0043
-3.1595 -4.2154 2.5296
Cu K P
2 1 1
Cartesian
0.1210 0.0772 0.0000
3.9132 -0.4618 1.2626
4.0113 2.5604 0.0000
1.2650 1.5682 1.2670
```

Energy of formation from the pure elements: 0.290 eV per atom

No. 2
Material: Cd8AgPt2
Method: DFT, PBE-GGA
State: optimized geometry

Cell and atoms, written as POSCAR:
```
Cd8AgPt2
1.0
-1.2001 3.3401 3.8164
0.9840 -5.5953 4.2403
6.2706 2.9208 -1.5506
Cd Ag Pt
8 1 2
Cartesian
4.1543 -0.3506 6.2271
5.5022 1.8208 4.7506
4.3235 -0.6685 2.9640
1.7423 -1.7372 4.6606
4.3122 2.4027 1.8455
1.7310 1.3341 3.5422
0.5523 -1.1552 1.7555
1.9002 1.0162 0.2790
-0.6000 1.6701 1.9082
4.5562 0.1591 0.3273
2.6984 -2.8336 2.3624
```

Energy of formation from the pure elements: -0.128 eV per atom
ΔE to the lowest computed polymorph: 49 meV per atom

No. 3
Material: PdC2Se
Method: DFT, PBE-GGA
State: optimized geometry

Cell and atoms, written as POSCAR:
```
PdC2Se
1.0
-4.3527 -2.2810 0.7076
-0.2363 -1.0525 -4.8463
-0.1959 -5.4484 -1.3504
C Se Pd
4 2 2
Cartesian
-2.7609 -2.8993 -0.5073
-0.7788 -2.3250 -3.2719
-1.8699 -5.3456 -2.6072
-4.1602 -6.9939 -4.5917
-2.2945 -1.6668 -2.0693
-1.3633 -4.0838 -4.1330
0.0000 0.0000 0.0000
-3.4216 -4.6981 -1.3561
```

Energy relative to the elements, uncorrected: 5.88 eV/f.u.

| no. | N(E_F) (states/eV/atom) | total DFT energy (no corrections) (eV per atom) |
| --- | --- | --- |
| 1 | 0.121 | -3.38 |
| 2 | 0.325 | -2.15 |
| 3 | 0.087 | -5.31 |